1.
Entry from Alexandria via LeMat-Bulk: crystalline PrPuAu4 at its relaxed geometry (PBE-GGA).

Summary:
- mass density (Mg/m³) = 14.1
- ΔE to the lowest computed polymorph (eV per atom) = 0.014
- DFT formation energy (kJ per mole of atoms) = -57
- size of the total moment (μB per formula unit) = 5.60

```
data_PrPuAu4
_cell_length_a 10.126
_cell_length_b 3.835
_cell_length_c 7.669
_cell_angle_alpha 90.00
_cell_angle_beta 112.27
_cell_angle_gamma 90.00
_space_group_name_H-M_alt 'C 1 2/m 1'
_space_group_IT_number 12
loop_
_space_group_symop_operation_xyz
'x,y,z'
'-x,-y,-z'
'-x,y,-z'
'x,-y,z'
'x+1/2,y+1/2,z'
'-x+1/2,-y+1/2,-z'
'-x+1/2,y+1/2,-z'
'x+1/2,-y+1/2,z'
loop_
_atom_site_label
_atom_site_type_symbol
_atom_site_fract_x
_atom_site_fract_y
_atom_site_fract_z
Pr1 Pr 0.000 0.000 0.000
Pu1 Pu 0.000 0.000 0.500
Au1 Au 0.166 0.500 0.829
Au2 Au 0.169 0.500 0.338
```

2.
Entry from Alexandria via LeMat-Bulk: crystalline Tb6SmTmTh2 at its relaxed geometry (PBE-GGA).

Summary:
- mass density (Mg/m³) = 8.8
- DFT formation energy (kJ per mole of atoms) = 14
- size of the total moment (μB per formula unit) = 0.00

```
data_Tb6SmTmTh2
_cell_length_a 8.957
_cell_length_b 14.834
_cell_length_c 10.017
_cell_angle_alpha 90.00
_cell_angle_beta 101.52
_cell_angle_gamma 90.00
_space_group_name_H-M_alt 'C 1 2/c 1'
_space_group_IT_number 15
loop_
_space_group_symop_operation_xyz
'x,y,z'
'-x,-y,-z'
'-x,y,-z+1/2'
'x,-y,z+1/2'
'x+1/2,y+1/2,z'
'-x+1/2,-y+1/2,-z'
'-x+1/2,y+1/2,-z+1/2'
'x+1/2,-y+1/2,z+1/2'
loop_
_atom_site_label
_atom_site_type_symbol
_atom_site_fract_x
_atom_site_fract_y
_atom_site_fract_z
Tb1 Tb 0.076 0.187 0.449
Tb2 Tb 0.091 0.398 0.616
Tb3 Tb 0.206 0.225 0.821
Sm1 Sm 0.000 0.010 0.750
Tm1 Tm 0.000 0.405 0.250
Th1 Th 0.230 0.047 0.042
```

3.
Entry from Alexandria via LeMat-Bulk: crystalline GeI2BrO at its relaxed geometry (PBE-GGA).

Summary:
- mass density (Mg/m³) = 5.1
- formation energy from raw total energies (eV per atom) = -0.074
- ΔE to the lowest computed polymorph (eV per atom) = 0.000
- size of the total moment (μB per formula unit) = 0.00

```
data_GeI2BrO
_cell_length_a 6.119
_cell_length_b 6.119
_cell_length_c 3.638
_cell_angle_alpha 90.00
_cell_angle_beta 90.00
_cell_angle_gamma 90.00
_space_group_name_H-M_alt 'P 4/m m m'
_space_group_IT_number 123
_space_group_name_Hall '-P 4 2'
loop_
_atom_site_label
_atom_site_type_symbol
_atom_site_fract_x
_atom_site_fract_y
_atom_site_fract_z
Ge1 Ge 0.000 0.000 0.000
I1 I 0.000 0.500 0.000
Br1 Br 0.500 0.500 0.500
O1 O 0.000 0.000 0.500
```